This record from the Alexandria database describes crystalline ZrGeSb at its relaxed geometry. The functional is GGA-PBEsol.

Cell: 3.7848 3.7848 8.6049 Å, 90.00 90.00 90.00°
With the nearest neighbours (Å) after each atom.
Space group P4/nmm (No. 129, origin choice 2)
Symmetry-distinct sites (fractional):
Zr1 0.2500 0.2500 0.2495 [2 per cell]  4 Ge 2.86, 5 Sb 2.94-3.11
Ge1 0.2500 0.7500 0.0000 [2 per cell]  4 Ge 2.68, 4 Zr 2.86
Sb1 0.2500 0.2500 0.6104 [2 per cell]  5 Zr 2.94-3.11, 4 Sb 3.28

Summary:
Crystal system   tetragonal
Formation energy (no corrections)   -0.68 eV per atom


This record from the Alexandria database describes crystalline Zr2GeSb at its relaxed geometry. The functional is GGA-PBEsol.

Cell: 6.8672 6.8672 6.8672 Å, 90.00 90.00 90.00°
With the nearest neighbours (Å) after each atom.
Space group Fm-3m (No. 225)
Symmetry-distinct sites (fractional):
Zr1 0.2500 0.2500 0.2500 [8 per cell]  4 Sb 2.97, 4 Ge 2.97
Ge1 0.0000 0.0000 0.0000 [4 per cell]  8 Zr 2.97
Sb1 0.0000 0.0000 0.5000 [4 per cell]  8 Zr 2.97

Summary:
Crystal system   cubic
Formation energy (no corrections)   -0.48 eV per atom


This record from the Alexandria database describes crystalline Sc5Ge3 at its relaxed geometry. The functional is GGA-PBEsol.

Cell: 7.8757 7.8757 5.8172 Å, 90.00 90.00 120.00°
With the nearest neighbours (Å) after each atom.
Space group P6_3/mcm (No. 193)
Symmetry-distinct sites (fractional):
Sc1 0.0000 0.2402 0.2500 [6 per cell]  3 Ge 2.71-2.88
Sc2 0.3333 0.6667 0.0000 [4 per cell]  6 Ge 2.82, 2 Sc 2.91
Ge1 0.0000 0.3944 0.7500 [6 per cell]  7 Sc 2.71-2.88

Summary:
Crystal system   hexagonal
Energy of formation   -0.90 eV/atom


This record from the Alexandria database describes crystalline Sc5Ge4 at its relaxed geometry. The functional is GGA-PBEsol.

Cell: 7.0156 13.6276 7.1910 Å, 90.00 90.00 90.00°
With the nearest neighbours (Å) after each atom.
Space group Pnma (No. 62)
Symmetry-distinct sites (fractional):
Sc1 0.0111 0.0965 0.1786 [8 per cell]  6 Ge 2.80-3.02
Sc2 0.1431 0.6230 0.3329 [8 per cell]  6 Ge 2.66-2.84
Sc3 0.1902 0.2500 0.5002 [4 per cell]  6 Ge 2.70-2.92
Ge1 0.0563 0.2500 0.8845 [4 per cell]  1 Ge 2.62, 6 Sc 2.70-2.92
Ge2 0.1807 0.7500 0.6435 [4 per cell]  1 Ge 2.62, 6 Sc 2.72-2.84
Ge3 0.1970 0.0407 0.5366 [8 per cell]  6 Sc 2.66-2.95

Summary:
Crystal system   orthorhombic
Energy of formation   -0.91 eV/atom


This record from the Alexandria database describes crystalline Sc2GeSe at its relaxed geometry. The functional is GGA-PBEsol.

Cell: 6.7249 6.7249 6.7249 Å, 90.00 90.00 90.00°
With the nearest neighbours (Å) after each atom.
Space group Fm-3m (No. 225)
Symmetry-distinct sites (fractional):
Sc1 0.2500 0.2500 0.2500 [8 per cell]  4 Ge 2.91, 4 Se 2.91
Ge1 0.0000 0.0000 0.0000 [4 per cell]  8 Sc 2.91
Se1 0.0000 0.0000 0.5000 [4 per cell]  8 Sc 2.91

Summary:
Crystal system   cubic
Formation energy (no corrections)   -0.87 eV per atom


This record from the Alexandria database describes crystalline Sc2GeSe at its relaxed geometry. The functional is GGA-PBEsol.

Cell: 3.5456 3.5456 25.6857 Å, 90.00 90.00 120.00°
With the nearest neighbours (Å) after each atom.
Space group R-3m (No. 166, hexagonal axes)
Symmetry-distinct sites (fractional):
Sc1 0.0000 0.0000 0.1031 [6 per cell]  3 Se 2.62, 1 Ge 2.65
Ge1 0.0000 0.0000 0.0000 [3 per cell]  2 Sc 2.65
Se1 0.0000 0.0000 0.5000 [3 per cell]  6 Sc 2.62

Summary:
Crystal system   trigonal
Formation energy (no corrections)   -0.63 eV per atom


This record from the Alexandria database describes crystalline Sc2Ge2Se at its relaxed geometry. The functional is GGA-PBEsol.

Cell: 3.6183 3.6183 14.5710 Å, 90.00 90.00 90.00°
With the nearest neighbours (Å) after each atom.
Space group I4/mmm (No. 139)
Symmetry-distinct sites (fractional):
Sc1 0.0000 0.0000 0.1046 [4 per cell]  4 Ge 2.79, 4 Se 2.98, 1 Sc 3.05
Ge1 0.0000 0.5000 0.2500 [4 per cell]  4 Ge 2.56, 4 Sc 2.79
Se1 0.0000 0.0000 0.5000 [2 per cell]  8 Sc 2.98

Summary:
Crystal system   tetragonal
Formation energy (no corrections)   -0.89 eV per atom


This record from the Alexandria database describes crystalline Y2ScGeSe at its relaxed geometry. The functional is GGA-PBEsol.

Cell: 5.4413 5.4413 4.7463 Å, 90.00 90.00 90.00°
With the nearest neighbours (Å) after each atom.
Space group P4/mmm (No. 123)
Symmetry-distinct sites (fractional):
Y1 0.0000 0.5000 0.0000 [2 per cell]  2 Sc 2.72
Sc1 0.0000 0.0000 0.0000 [1 per cell]  2 Se 2.37
Ge1 0.5000 0.5000 0.5000 [1 per cell]  8 Y 3.61, 4 Se 3.85
Se1 0.0000 0.0000 0.5000 [1 per cell]  2 Sc 2.37

Summary:
Crystal system   tetragonal
Formation energy (no corrections)   0.28 eV per atom


Result set for D(E_F): 0.96, 4.50, 4.61, 6.03, 2.90, 1.71, 2.49, 5.18 states/eV/f.u., one per record in the order listed.